# Sm6TmTe8, relaxed, DFT PBE
data_Sm6TmTe8
_symmetry_space_group_name_H-M 'F m -3 m'
_symmetry_Int_Tables_number 225
_symmetry_space_group_name_Hall '-F 4 2 3'
_cell_length_a 12.511
_cell_length_b 12.511
_cell_length_c 12.511
_cell_angle_alpha 90.00
_cell_angle_beta 90.00
_cell_angle_gamma 90.00
loop_
_atom_site_label
_atom_site_type_symbol
_atom_site_fract_x
_atom_site_fract_y
_atom_site_fract_z
Sm1 Sm 0.000 0.250 0.250
Tm1 Tm 0.000 0.000 0.000
Te1 Te 0.000 0.000 0.249
Te2 Te 0.250 0.250 0.250
# - D(E_F) (states/eV/f.u.) = 6.98
# - energy relative to the elements, uncorrected (eV/atom) = -1.41
# - uncorrected energy (eV/f.u.) = -79.139